(1)
# HfTlCuS3 (GGA-PBEsol, relaxed)
data_HfTlCuS3
_cell_length_a 3.643
_cell_length_b 13.941
_cell_length_c 9.598
_cell_angle_alpha 90.00
_cell_angle_beta 90.00
_cell_angle_gamma 90.00
_space_group_name_H-M_alt 'C m c m'
_space_group_IT_number 63
_space_group_name_Hall '-C 2c 2'
loop_
_atom_site_label
_atom_site_fract_x
_atom_site_fract_y
_atom_site_fract_z
_atom_site_occupancy
Hf1 0.000 0.000 0.000 1
Tl1 0.000 0.254 0.250 1
Cu1 0.000 0.462 0.750 1
S1 0.000 0.063 0.750 1
S2 0.000 0.376 0.549 1
# formation energy from raw total energies = -1.03 eV per atom
# energy = -6.132 eV per atom
# calculated volume = 20.3 Å³ per atom

***

(2)
# Hf2Cu2Sb (GGA-PBEsol, relaxed)
data_Hf2Cu2Sb
_cell_length_a 6.585
_cell_length_b 6.585
_cell_length_c 3.961
_cell_angle_alpha 90.00
_cell_angle_beta 90.00
_cell_angle_gamma 90.00
_space_group_name_H-M_alt 'P 4/m b m'
_space_group_IT_number 127
_space_group_name_Hall '-P 4 2ab'
loop_
_atom_site_label
_atom_site_fract_x
_atom_site_fract_y
_atom_site_fract_z
_atom_site_occupancy
Hf1 0.165 0.335 0.000 1
Cu1 0.126 0.626 0.500 1
Sb1 0.000 0.000 0.500 1
# formation energy from raw total energies = -0.29 eV per atom
# energy = -7.140 eV per atom
# calculated volume = 17.2 Å³ per atom